TiNb4Pt5: relaxed, PBE-GGA.

Values from the calculation:
The symmetry is P4/mmm. As for the density: 13.72 Mg/m³. As for the electronic total energy: -8.376 eV per atom.

Structure (extended XYZ):
```
10
Lattice="-1.5227 1.2988 -2.8626 -2.7742 -2.0509 0.5452 -5.8559 9.9494 7.6289" Properties=species:S:1:pos:R:3 pbc="T T T"
Nb -3.5281 5.9943 4.5963
Nb -1.1862 2.0155 1.5454
Nb -4.6697 7.9339 6.0835
Nb -2.3278 3.9551 3.0327
Ti 0.0000 0.0000 0.0000
Pt -2.7196 0.5943 -0.4146
Pt -5.0764 4.5986 2.6558
Pt -7.4332 8.6029 5.7262
Pt -6.2564 6.6034 4.1930
Pt -3.8965 2.5938 1.1185
```

TiNbPt: relaxed, PBE-GGA.

Values from the calculation:
The symmetry is C2/m. The excess energy over the best structure of this formula in the dataset is 0.0112 eV/atom. As for the density: 11.01 Mg/m³. As for the electronic total energy: -8.426 eV per atom.

Structure (extended XYZ):
```
6
Lattice="-1.2991 -4.1009 -1.5716 2.1777 -0.0629 5.0347 -2.9175 -0.9356 4.8506" Properties=species:S:1:pos:R:3 pbc="T T T"
Pt -2.0336 -1.5521 5.7265
Pt -0.0053 -3.5474 2.5872
Nb -0.7526 -1.0617 3.3916
Nb -1.2863 -4.0377 4.9221
Ti -0.7577 -2.7608 7.8265
Ti -1.2812 -2.3386 0.4872
```

TiNbPt2: relaxed, PBE-GGA.

Values from the calculation:
The symmetry is P4/mmm. As for the density: 13.78 Mg/m³. As for the electronic total energy: -8.270 eV per atom.

Structure (extended XYZ):
```
4
Lattice="4.0638 0.0000 0.0000 0.0000 3.9673 0.0000 0.0000 0.0000 3.9673" Properties=species:S:1:pos:R:3 pbc="T T T"
Pt 0.0000 1.9837 0.0000
Pt 0.0000 0.0000 1.9837
Ti 2.0319 1.9837 1.9837
Nb 2.0319 0.0000 0.0000
```

TiNb3Pt: relaxed, PBE-GGA.

Values from the calculation:
The symmetry is C2/m. The excess energy over the best structure of this formula in the dataset is 0.0000 eV/atom. As for the density: 9.90 Mg/m³. As for the electronic total energy: -8.963 eV per atom.

Structure (extended XYZ):
```
10
Lattice="2.7372 0.0000 0.0000 -1.3686 6.6712 -2.8290 -0.0001 0.3357 9.4455" Properties=species:S:1:pos:R:3 pbc="T T T"
Nb 0.0000 3.3892 0.8328
Nb 1.3685 3.6177 5.7836
Nb 1.3686 6.0144 0.7104
Nb 1.3685 2.0994 3.3235
Nb -0.0001 0.9925 5.9060
Nb -0.0001 4.9075 3.2929
Pt 1.3685 2.0769 8.3234
Pt 0.0000 4.9300 -1.7071
Ti 0.0000 0.6943 1.1226
Ti 1.3685 6.3126 5.4938
```

TiNb3Pt: relaxed, PBE-GGA.

Values from the calculation:
The symmetry is Pm-3m. The excess energy over the best structure of this formula in the dataset is 1.2247 eV/atom. As for the density: 7.43 Mg/m³. As for the electronic total energy: -7.738 eV per atom.

Structure (extended XYZ):
```
5
Lattice="4.8852 0.0000 0.0000 0.0000 4.8852 0.0000 0.0000 0.0000 4.8852" Properties=species:S:1:pos:R:3 pbc="T T T"
Pt 0.0000 0.0000 0.0000
Nb 0.0000 2.4426 0.0000
Nb 0.0000 0.0000 2.4426
Nb 2.4426 0.0000 0.0000
Ti 2.4426 2.4426 2.4426
```

TiNb2Pt: relaxed, PBE-GGA.

Values from the calculation:
The symmetry is Fm-3m. The excess energy over the best structure of this formula in the dataset is 0.1762 eV/atom. As for the density: 10.52 Mg/m³. As for the electronic total energy: -8.766 eV per atom.

Structure (extended XYZ):
```
4
Lattice="-4.3473 -0.3780 -1.3711 -3.3063 2.2318 2.2382 -2.0948 3.5580 -1.9684" Properties=species:S:1:pos:R:3 pbc="T T T"
Ti 0.0000 0.0000 0.0000
Nb -2.4371 1.3530 -0.2753
Nb -7.3113 4.0589 -0.8260
Pt -4.8742 2.7059 -0.5507
```

TiNb14Pt: relaxed, PBE-GGA.

Values from the calculation:
The symmetry is Cmmm. As for the density: 8.95 Mg/m³. As for the electronic total energy: -9.792 eV per atom.

Structure (extended XYZ):
```
16
Lattice="5.7617 0.1526 0.0000 -2.1178 5.3605 0.0000 0.0000 0.0000 9.1789" Properties=species:S:1:pos:R:3 pbc="T T T"
Nb 0.8274 3.4139 2.3448
Nb 1.7480 4.7859 4.5895
Nb 1.7478 4.7860 0.0000
Nb -0.0740 2.0292 4.5895
Nb 4.7865 0.7971 2.3449
Nb -0.0742 2.0294 0.0000
Nb 0.8274 3.4139 6.8342
Nb -1.1329 4.7096 0.0000
Nb 2.8067 2.1056 0.0000
Nb 1.8874 0.7142 6.8759
Nb 3.7266 3.4967 6.8759
Nb 4.7865 0.7971 6.8341
Nb 1.8874 0.7142 2.3030
Nb 3.7266 3.4967 2.3030
Ti -1.1328 4.7095 4.5895
Pt 2.8068 2.1056 4.5895
```

Ti2Nb2Pt: relaxed, PBE-GGA.

Values from the calculation:
The symmetry is C2/m. The excess energy over the best structure of this formula in the dataset is 0.0000 eV/atom. As for the density: 9.42 Mg/m³. As for the electronic total energy: -8.755 eV per atom.

Structure (extended XYZ):
```
10
Lattice="-2.1557 3.1667 2.2490 -4.3082 -0.2863 -3.7264 -0.4442 -6.1304 3.8190" Properties=species:S:1:pos:R:3 pbc="T T T"
Pt -3.2326 3.0948 1.3172
Pt -3.2314 -0.2144 -2.7946
Ti -2.7704 -3.7725 2.6557
Ti -4.1377 0.5225 -0.3141
Ti -1.9833 0.6652 1.5488
Ti -4.9249 -3.9152 0.7928
Nb -3.9424 -1.2538 2.3734
Nb -2.9658 -1.9961 -0.0319
Nb -0.8115 -1.8532 1.8312
Nb -6.0966 -1.3968 0.5103
```

Ti4Nb3Pt2: relaxed, PBE-GGA.

Values from the calculation:
The symmetry is P-3m1. As for the density: 9.67 Mg/m³. As for the electronic total energy: -8.711 eV per atom.

Structure (extended XYZ):
```
9
Lattice="4.4700 0.0004 0.0008 2.2346 3.8689 0.1416 -0.0015 -0.3111 8.5314" Properties=species:S:1:pos:R:3 pbc="T T T"
Pt 4.4694 2.5101 1.9909
Pt 2.2337 1.0482 6.6830
Ti 4.4684 2.3012 7.7386
Ti 4.4690 -0.2088 5.7505
Ti 2.2341 3.7670 2.9233
Ti 2.2347 1.2571 0.9352
Nb 2.2342 1.1508 3.8552
Nb 0.0000 0.0000 0.0000
Nb 4.4689 2.4074 4.8187
```

Ti3NbPt: relaxed, PBE-GGA.

Values from the calculation:
The symmetry is Pm-3m. The excess energy over the best structure of this formula in the dataset is 1.1817 eV/atom. As for the density: 7.10 Mg/m³. As for the electronic total energy: -7.056 eV per atom.

Structure (extended XYZ):
```
5
Lattice="4.6569 0.0000 0.0000 0.0000 4.6569 0.0000 0.0000 0.0000 4.6569" Properties=species:S:1:pos:R:3 pbc="T T T"
Ti 0.0000 2.3285 0.0000
Ti 2.3285 0.0000 0.0000
Ti 0.0000 0.0000 2.3285
Nb 0.0000 0.0000 0.0000
Pt 2.3285 2.3285 2.3285
```

Ti5NbPt6: relaxed, PBE-GGA.

Values from the calculation:
The symmetry is Cmmm. As for the density: 13.24 Mg/m³. As for the electronic total energy: -8.010 eV per atom.

Structure (extended XYZ):
```
12
Lattice="-1.3701 -3.5779 1.1137 4.9337 -3.8439 0.8674 0.3883 2.2040 7.5584" Properties=species:S:1:pos:R:3 pbc="T T T"
Nb 0.0000 0.0000 0.0000
Ti 1.1590 -2.4634 0.6588
Ti 2.5747 -3.8477 5.1002
Ti 1.3772 -1.3702 4.4393
Ti 2.4046 -4.9585 1.3223
Ti 0.1941 1.1020 3.7792
Pt 0.8034 -2.6185 6.8695
Pt 0.6109 -3.7108 3.1244
Pt 3.1485 -2.5994 2.6700
Pt -0.3962 -0.1497 6.1782
Pt -0.5856 -1.2242 2.4939
Pt 3.3409 -1.5071 6.4151
```

TiNbPt5: relaxed, PBE-GGA.

Values from the calculation:
The symmetry is P4/mmm. As for the density: 15.71 Mg/m³. As for the electronic total energy: -7.535 eV per atom.

Structure (extended XYZ):
```
7
Lattice="3.9379 0.0000 0.0000 0.0000 3.9379 0.0000 0.0000 0.0000 7.6107" Properties=species:S:1:pos:R:3 pbc="T T T"
Pt 0.0000 1.9690 5.8438
Pt 1.9689 1.9690 3.8053
Pt 1.9689 0.0000 5.8439
Pt 1.9689 0.0000 1.7668
Pt 0.0000 1.9690 1.7668
Ti 1.9689 1.9690 0.0000
Nb 0.0000 0.0000 3.8053
```

TiNb2Pt3: relaxed, PBE-GGA.

Values from the calculation:
The symmetry is P4/mmm. As for the density: 13.54 Mg/m³. As for the electronic total energy: -8.283 eV per atom.

Structure (extended XYZ):
```
6
Lattice="3.4723 0.0000 0.0000 0.0000 3.4723 0.0000 0.0000 0.0000 8.3299" Properties=species:S:1:pos:R:3 pbc="T T T"
Ti 1.7362 1.7362 4.1649
Nb 1.7362 1.7362 1.3387
Nb 1.7362 1.7362 6.9911
Pt 0.0000 0.0000 5.5180
Pt 0.0000 0.0000 2.8119
Pt 0.0000 0.0000 0.0000
```

TiNb2Pt: relaxed, PBE-GGA.

Values from the calculation:
The symmetry is I-42d. The excess energy over the best structure of this formula in the dataset is 0.4873 eV/atom. As for the density: 9.56 Mg/m³. As for the electronic total energy: -8.454 eV per atom.

Structure (extended XYZ):
```
8
Lattice="-2.8573 -6.9333 0.6156 0.5694 -0.8960 -7.4489 1.2805 -4.8870 -3.1144" Properties=species:S:1:pos:R:3 pbc="T T T"
Ti 0.3530 -4.8488 -6.9900
Ti -1.1440 -3.9147 -3.4167
Pt -1.3604 -7.8675 -2.9577
Pt 0.0000 0.0000 0.0000
Nb -1.4524 -5.8076 -1.3125
Nb 0.0909 -6.5831 -4.7473
Nb 0.3767 -2.5079 -5.3697
Nb -1.0300 -10.5341 -8.4660
```

Ti3Nb2Pt: relaxed, PBE-GGA.

Values from the calculation:
The symmetry is Cmmm. As for the density: 8.73 Mg/m³. As for the electronic total energy: -8.675 eV per atom.

Structure (extended XYZ):
```
12
Lattice="4.5020 0.0000 0.0176 2.2510 6.8021 0.0088 -0.0255 0.0000 6.5173" Properties=species:S:1:pos:R:3 pbc="T T T"
Ti 2.2447 0.0000 1.6005
Ti 2.2318 4.5074 4.9214
Ti 4.4828 2.2947 4.9303
Ti 4.4957 2.2947 1.6224
Ti 2.2317 0.0000 4.9345
Ti 2.2447 4.5074 1.6135
Pt 2.2510 2.2675 0.0088
Pt 4.5020 4.5346 0.0176
Nb 4.4893 4.5268 3.2763
Nb -0.0128 0.0000 3.2587
Nb 0.0000 0.0000 0.0000
Nb 2.2382 2.2752 3.2675
```

TiNb2Pt: relaxed, PBE-GGA.

Values from the calculation:
The symmetry is P4mm. The excess energy over the best structure of this formula in the dataset is 0.0000 eV/atom. As for the density: 10.42 Mg/m³. As for the electronic total energy: -8.942 eV per atom.

Structure (extended XYZ):
```
4
Lattice="3.2899 0.0000 0.0000 0.0000 3.2899 0.0000 0.0000 0.0000 6.3110" Properties=species:S:1:pos:R:3 pbc="T T T"
Nb 1.6450 1.6450 1.5534
Nb 0.0000 0.0000 6.2909
Pt 0.0000 0.0000 3.2001
Ti 1.6450 1.6450 4.7330
```

Ti2Nb6Pt: relaxed, PBE-GGA.

Values from the calculation:
The symmetry is C2/m. As for the density: 8.96 Mg/m³. As for the electronic total energy: -9.351 eV per atom.

Structure (extended XYZ):
```
9
Lattice="4.5864 -0.4027 -0.8974 -0.4639 3.6088 -3.9693 -0.3940 -0.6480 10.4617" Properties=species:S:1:pos:R:3 pbc="T T T"
Nb 2.7688 0.6950 1.5574
Nb 3.2337 0.1171 4.1839
Nb 2.2907 1.2962 -1.1313
Nb 0.9597 1.8631 4.0376
Nb 1.4379 1.2620 6.7263
Nb 0.4948 2.4411 1.4111
Pt 0.0000 0.0000 0.0000
Ti 3.7215 -0.4857 6.9128
Ti 0.0070 3.0438 -1.3178
```

Ti2Nb2Pt: relaxed, PBE-GGA.

Values from the calculation:
The symmetry is P4/mbm. The excess energy over the best structure of this formula in the dataset is 0.2355 eV/atom. As for the density: 9.07 Mg/m³. As for the electronic total energy: -8.519 eV per atom.

Structure (extended XYZ):
```
10
Lattice="-3.8943 0.5390 -5.4081 -0.5054 -6.6602 -0.2999 -3.1605 0.1367 2.2894" Properties=species:S:1:pos:R:3 pbc="T T T"
Pt 0.0000 0.0000 0.0000
Pt -2.1998 -3.0606 -2.8540
Ti -1.8384 -5.5363 -2.2072
Ti -0.7257 -2.3252 -0.8630
Ti -2.5613 -0.5849 -3.5008
Ti -3.6739 -3.7960 -4.8450
Nb -2.5675 -4.2837 0.0417
Nb -4.5985 -5.1203 -2.7121
Nb -2.9616 -0.8641 -0.7065
Nb -4.9926 -1.7007 -3.4603
```

TiNb2Pt: relaxed, PBE-GGA.

Values from the calculation:
The symmetry is P4/mmm. The excess energy over the best structure of this formula in the dataset is 0.1290 eV/atom. As for the density: 10.41 Mg/m³. As for the electronic total energy: -8.813 eV per atom.

Structure (extended XYZ):
```
4
Lattice="3.3028 0.0000 0.0000 0.0000 3.3028 0.0000 0.0000 0.0000 6.2687" Properties=species:S:1:pos:R:3 pbc="T T T"
Pt 1.6514 1.6514 3.1343
Nb 0.0000 0.0000 1.5482
Nb 0.0000 0.0000 4.7205
Ti 1.6514 1.6514 0.0000
```

Ti5Nb2Pt: relaxed, PBE-GGA.

Values from the calculation:
The symmetry is I4/mmm. As for the density: 7.71 Mg/m³. As for the electronic total energy: -8.465 eV per atom.

Structure (extended XYZ):
```
8
Lattice="-0.0435 -0.9907 -5.4899 0.8618 -4.7611 2.7769 -4.9147 2.1569 1.5220" Properties=species:S:1:pos:R:3 pbc="T T T"
Nb -1.7995 -2.9015 1.3962
Nb -2.2509 -1.0162 -2.7373
Ti -1.8195 -3.3958 -1.3490
Ti 0.6581 -3.9782 0.6330
Ti -4.7089 0.0628 -1.9761
Ti -2.2311 -0.5203 0.0076
Ti 0.2268 -1.5950 -0.7547
Pt 0.6367 -4.4751 -2.1106
```

TiNbPt6: relaxed, PBE-GGA.

Values from the calculation:
The symmetry is P4/mmm. As for the density: 17.30 Mg/m³. As for the electronic total energy: -7.472 eV per atom.

Structure (extended XYZ):
```
8
Lattice="3.9772 0.0000 0.0000 0.0000 3.9772 0.0000 0.0000 0.0000 7.9588" Properties=species:S:1:pos:R:3 pbc="T T T"
Pt 1.9886 1.9886 0.0000
Pt 0.0000 1.9886 5.9849
Pt 1.9886 0.0000 1.9739
Pt 0.0000 1.9886 1.9739
Pt 1.9886 0.0000 5.9849
Pt 1.9886 1.9886 3.9794
Ti 0.0000 0.0000 0.0000
Nb 0.0000 0.0000 3.9794
```

Ti4Nb2Pt: relaxed, PBE-GGA.

Values from the calculation:
The symmetry is I4/mmm. As for the density: 7.41 Mg/m³. As for the electronic total energy: -8.401 eV per atom.

Structure (extended XYZ):
```
7
Lattice="4.2522 0.0000 -1.3555 -0.4321 4.2301 -1.3555 -0.0566 -0.0627 7.1697" Properties=species:S:1:pos:R:3 pbc="T T T"
Pt 0.0000 0.0000 0.0000
Ti 1.1986 3.6816 3.7600
Ti 3.5407 1.5665 3.7600
Ti 0.2227 2.6009 0.6987
Ti 2.5648 0.4859 0.6987
Nb 0.9065 1.0039 2.8439
Nb 2.8569 3.1636 1.6149
```

TiNb3Pt: relaxed, PBE-GGA.

Values from the calculation:
The symmetry is Pm-3m. The excess energy over the best structure of this formula in the dataset is 1.2208 eV/atom. As for the density: 8.84 Mg/m³. As for the electronic total energy: -7.742 eV per atom.

Structure (extended XYZ):
```
5
Lattice="-1.3999 1.3344 -4.1858 3.9042 -1.6367 -1.8275 -2.0147 -4.0990 -0.6329" Properties=species:S:1:pos:R:3 pbc="T T T"
Nb 1.9521 -0.8184 -0.9138
Nb -0.7000 0.6672 -2.0929
Nb -1.0073 -2.0495 -0.3165
Ti 0.0000 0.0000 0.0000
Pt 0.2448 -2.2007 -3.3231
```

TiNbPt2: relaxed, PBE-GGA.

Values from the calculation:
The symmetry is I-42d. As for the density: 12.56 Mg/m³. As for the electronic total energy: -7.804 eV per atom.

Structure (extended XYZ):
```
8
Lattice="-5.0146 -4.8265 -1.6991 4.0250 -2.2519 -5.4824 0.7115 -5.3688 -1.9536" Properties=species:S:1:pos:R:3 pbc="T T T"
Ti -0.4948 -3.5392 -3.5907
Ti 2.1208 -5.5799 -5.5134
Pt -2.3993 -4.5884 -2.2174
Pt 0.2057 -6.7051 -4.2171
Pt 2.0128 -3.4047 -4.1455
Pt -0.3755 -10.1959 -7.6902
Nb -2.3990 -6.8672 -3.6217
Nb 0.0000 0.0000 0.0000
```